*P*
Sm2Cd3Au2: optimized geometry, GGA-PBE.

Fermi-level density of states: 4.6 states/eV/f.u.
V: 333.2 Å³/cell
spin magnetization: 0.00 μB/f.u.

Lattice parameters (Å, degrees): 10.124 4.668 7.444 90.00 108.72 90.00
Fractional coordinates of all 14 atoms:
Sm: 0.137 0.000 0.282
Sm: 0.363 0.500 0.718
Sm: 0.637 0.500 0.282
Sm: 0.863 0.000 0.718
Cd: 0.000 0.500 0.500
Cd: 0.120 0.500 0.933
Cd: 0.380 0.000 0.067
Cd: 0.500 0.000 0.500
Cd: 0.620 0.000 0.933
Cd: 0.880 0.500 0.067
Au: 0.167 0.000 0.704
Au: 0.333 0.500 0.296
Au: 0.667 0.500 0.704
Au: 0.833 0.000 0.296

*Q*
Sm2Cd3Au2: optimized geometry, GGA-PBE.

Fermi-level density of states: 4.6 states/eV/f.u.
V: 339.7 Å³/cell
spin magnetization: 0.00 μB/f.u.

Lattice parameters (Å, degrees): 10.575 4.263 7.557 90.00 94.25 90.00
Fractional coordinates of all 14 atoms:
Sm: 0.121 0.000 0.338
Sm: 0.379 0.500 0.662
Sm: 0.621 0.500 0.338
Sm: 0.879 0.000 0.662
Cd: 0.000 0.500 0.000
Cd: 0.189 0.000 0.877
Cd: 0.311 0.500 0.123
Cd: 0.500 0.000 0.000
Cd: 0.689 0.500 0.877
Cd: 0.811 0.000 0.123
Au: 0.098 0.500 0.639
Au: 0.402 0.000 0.361
Au: 0.598 0.000 0.639
Au: 0.902 0.500 0.361

Which of them is the most stable? Correct choice: *P*.

*P*
SmCd3Au3: optimized geometry, GGA-PBE.

Fermi-level density of states: 5.1 states/eV/f.u.
V: 419.0 Å³/cell
spin magnetization: 0.00 μB/f.u.

Lattice parameters (Å, degrees): 7.483 7.483 7.483 90.00 90.00 90.00
Fractional coordinates of all 14 atoms:
Sm: 0.000 0.000 0.000
Sm: 0.500 0.500 0.500
Cd: 0.000 0.250 0.500
Cd: 0.000 0.750 0.500
Cd: 0.250 0.500 0.000
Cd: 0.500 0.000 0.250
Cd: 0.500 0.000 0.750
Cd: 0.750 0.500 0.000
Au: 0.000 0.500 0.250
Au: 0.000 0.500 0.750
Au: 0.250 0.000 0.500
Au: 0.500 0.250 0.000
Au: 0.500 0.750 0.000
Au: 0.750 0.000 0.500

*Q*
SmCd3Au3: optimized geometry, GGA-PBE.

Fermi-level density of states: 2.4 states/eV/f.u.
V: 303.3 Å³/cell
spin magnetization: 0.00 μB/f.u.

Lattice parameters (Å, degrees): 8.522 4.802 8.548 90.00 119.89 90.00
Fractional coordinates of all 14 atoms:
Sm: 0.166 0.250 0.333
Sm: 0.834 0.750 0.667
Cd: 0.271 0.250 0.777
Cd: 0.278 0.750 0.007
Cd: 0.494 0.750 0.771
Cd: 0.506 0.250 0.229
Cd: 0.722 0.250 0.993
Cd: 0.729 0.750 0.223
Au: 0.036 0.250 0.924
Au: 0.112 0.750 0.535
Au: 0.423 0.750 0.388
Au: 0.577 0.250 0.612
Au: 0.888 0.250 0.465
Au: 0.964 0.750 0.076

Which of them is the most stable? Correct choice: *Q*.

*P*
Sm3CdAu4: optimized geometry, GGA-PBE.

Fermi-level density of states: 4.0 states/eV/f.u.
V: 188.6 Å³/cell
spin magnetization: 0.00 μB/f.u.

Lattice parameters (Å, degrees): 5.049 5.049 7.398 90.00 90.00 90.00
Fractional coordinates of all 8 atoms:
Sm: 0.000 0.000 0.000
Sm: 0.000 0.000 0.500
Sm: 0.500 0.500 0.000
Cd: 0.500 0.500 0.500
Au: 0.000 0.500 0.248
Au: 0.000 0.500 0.752
Au: 0.500 0.000 0.248
Au: 0.500 0.000 0.752

*Q*
Sm3CdAu4: optimized geometry, GGA-PBE.

Fermi-level density of states: 5.8 states/eV/f.u.
V: 417.0 Å³/cell
spin magnetization: 0.00 μB/f.u.

Lattice parameters (Å, degrees): 3.956 7.126 14.795 90.00 90.00 90.00
Fractional coordinates of all 16 atoms:
Sm: 0.000 0.000 0.000
Sm: 0.000 0.500 0.191
Sm: 0.000 0.500 0.809
Sm: 0.500 0.000 0.309
Sm: 0.500 0.000 0.691
Sm: 0.500 0.500 0.500
Cd: 0.000 0.000 0.500
Cd: 0.500 0.500 0.000
Au: 0.000 0.300 0.370
Au: 0.000 0.300 0.630
Au: 0.000 0.700 0.370
Au: 0.000 0.700 0.630
Au: 0.500 0.200 0.130
Au: 0.500 0.200 0.870
Au: 0.500 0.800 0.130
Au: 0.500 0.800 0.870

Which of them is the most stable? Correct choice: *P*.

*P*
Sm3Cd2Au: optimized geometry, GGA-PBE.

Fermi-level density of states: 5.5 states/eV/f.u.
V: 159.6 Å³/cell
spin magnetization: 0.00 μB/f.u.

Lattice parameters (Å, degrees): 5.315 5.315 6.523 90.00 90.00 120.00
Fractional coordinates of all 6 atoms:
Sm: 0.000 0.000 0.000
Sm: 0.333 0.667 0.649
Sm: 0.667 0.333 0.351
Cd: 0.333 0.667 0.144
Cd: 0.667 0.333 0.856
Au: 0.000 0.000 0.500

*Q*
Sm3Cd2Au: optimized geometry, GGA-PBE.

Fermi-level density of states: 5.7 states/eV/f.u.
V: 160.0 Å³/cell
spin magnetization: 0.09 μB/f.u.

Lattice parameters (Å, degrees): 3.750 3.750 11.376 90.00 90.00 90.00
Fractional coordinates of all 6 atoms:
Sm: 0.000 0.000 0.000
Sm: 0.000 0.000 0.345
Sm: 0.000 0.000 0.655
Cd: 0.500 0.500 0.167
Cd: 0.500 0.500 0.833
Au: 0.500 0.500 0.500

Which of them is the most stable? Correct choice: *Q*.

*P*
SmCd6Au2: optimized geometry, GGA-PBE.

Fermi-level density of states: 4.7 states/eV/f.u.
V: 205.3 Å³/cell
spin magnetization: 0.00 μB/f.u.

Lattice parameters (Å, degrees): 4.245 4.245 11.392 90.00 90.00 90.00
Fractional coordinates of all 9 atoms:
Sm: 0.000 0.000 0.000
Cd: 0.000 0.000 0.500
Cd: 0.000 0.500 0.287
Cd: 0.000 0.500 0.713
Cd: 0.500 0.000 0.287
Cd: 0.500 0.000 0.713
Cd: 0.500 0.500 0.500
Au: 0.500 0.500 0.118
Au: 0.500 0.500 0.882

*Q*
SmCd6Au2: optimized geometry, GGA-PBE.

Fermi-level density of states: 3.9 states/eV/f.u.
V: 203.5 Å³/cell
spin magnetization: 0.00 μB/f.u.

Lattice parameters (Å, degrees): 8.630 8.630 3.258 100.69 100.69 59.12
Fractional coordinates of all 9 atoms:
Sm: 0.000 0.000 0.000
Cd: 0.002 0.351 0.676
Cd: 0.333 0.667 0.500
Cd: 0.351 0.002 0.676
Cd: 0.649 0.998 0.324
Cd: 0.667 0.333 0.500
Cd: 0.998 0.649 0.324
Au: 0.354 0.354 0.858
Au: 0.646 0.646 0.142

Which of them is the most stable? Correct choice: *P*.

*P*
SmTmCdAu: optimized geometry, GGA-PBE.

Fermi-level density of states: 3.9 states/eV/f.u.
V: 399.0 Å³/cell
spin magnetization: 0.00 μB/f.u.

Lattice parameters (Å, degrees): 7.362 7.362 7.362 90.00 90.00 90.00
Fractional coordinates of all 16 atoms:
Sm: 0.000 0.000 0.000
Sm: 0.000 0.500 0.500
Sm: 0.500 0.000 0.500
Sm: 0.500 0.500 0.000
Tm: 0.000 0.000 0.500
Tm: 0.000 0.500 0.000
Tm: 0.500 0.000 0.000
Tm: 0.500 0.500 0.500
Cd: 0.250 0.250 0.250
Cd: 0.250 0.750 0.750
Cd: 0.750 0.250 0.750
Cd: 0.750 0.750 0.250
Au: 0.250 0.250 0.750
Au: 0.250 0.750 0.250
Au: 0.750 0.250 0.250
Au: 0.750 0.750 0.750

*Q*
SmTmCdAu: optimized geometry, GGA-PBE.

Fermi-level density of states: 3.7 states/eV/f.u.
V: 99.8 Å³/cell
spin magnetization: 0.05 μB/f.u.

Lattice parameters (Å, degrees): 3.677 3.677 7.380 90.00 90.00 90.00
Fractional coordinates of all 4 atoms:
Sm: 0.000 0.000 0.000
Tm: 0.000 0.000 0.527
Cd: 0.500 0.500 0.275
Au: 0.500 0.500 0.738

Which of them is the most stable? Correct choice: *Q*.

*P*
Cd2Sn2Au3: optimized geometry, GGA-PBE.

Fermi-level density of states: 2.1 states/eV/f.u.
V: 322.2 Å³/cell
spin magnetization: 0.00 μB/f.u.

Lattice parameters (Å, degrees): 13.260 4.454 5.825 90.00 110.50 90.00
Fractional coordinates of all 14 atoms:
Cd: 0.176 0.000 0.313
Cd: 0.324 0.500 0.687
Cd: 0.676 0.500 0.313
Cd: 0.824 0.000 0.687
Sn: 0.065 0.500 0.833
Sn: 0.435 0.000 0.167
Sn: 0.565 0.000 0.833
Sn: 0.935 0.500 0.167
Au: 0.000 0.000 0.500
Au: 0.218 0.000 0.827
Au: 0.282 0.500 0.173
Au: 0.500 0.500 0.500
Au: 0.718 0.500 0.827
Au: 0.782 0.000 0.173

*Q*
Cd2Sn2Au3: optimized geometry, GGA-PBE.

Fermi-level density of states: 2.8 states/eV/f.u.
V: 330.2 Å³/cell
spin magnetization: 0.00 μB/f.u.

Lattice parameters (Å, degrees): 13.412 4.452 5.739 90.00 105.51 90.00
Fractional coordinates of all 14 atoms:
Cd: 0.195 0.000 0.343
Cd: 0.305 0.500 0.657
Cd: 0.695 0.500 0.343
Cd: 0.805 0.000 0.657
Sn: 0.061 0.500 0.764
Sn: 0.439 0.000 0.236
Sn: 0.561 0.000 0.764
Sn: 0.939 0.500 0.236
Au: 0.000 0.000 0.000
Au: 0.201 0.000 0.837
Au: 0.299 0.500 0.163
Au: 0.500 0.500 0.000
Au: 0.701 0.500 0.837
Au: 0.799 0.000 0.163

Which of them is the most stable? Correct choice: *P*.

*P*
CdSnAu4: optimized geometry, GGA-PBE.

Fermi-level density of states: 1.8 states/eV/f.u.
V: 126.7 Å³/cell
spin magnetization: 0.00 μB/f.u.

Lattice parameters (Å, degrees): 3.945 4.964 6.754 91.24 106.38 92.50
Fractional coordinates of all 6 atoms:
Cd: 0.000 0.000 0.000
Sn: 0.500 0.500 0.500
Au: 0.164 0.502 0.835
Au: 0.328 0.002 0.668
Au: 0.672 0.998 0.332
Au: 0.836 0.498 0.165

*Q*
CdSnAu4: optimized geometry, GGA-PBE.

Fermi-level density of states: 2.0 states/eV/f.u.
V: 124.3 Å³/cell
spin magnetization: 0.00 μB/f.u.

Lattice parameters (Å, degrees): 5.602 5.602 5.602 60.00 60.00 60.00
Fractional coordinates of all 6 atoms:
Cd: 0.000 0.000 0.000
Sn: 0.750 0.750 0.750
Au: 0.375 0.375 0.375
Au: 0.375 0.375 0.876
Au: 0.375 0.876 0.375
Au: 0.876 0.375 0.375

Which of them is the most stable? Correct choice: *P*.